Density functional theory data (PBE-GGA) for a relaxed structure of GaSb3N.

Unit cell a=4.7904 b=4.7904 c=4.7904 alpha=90.00 beta=90.00 gamma=90.00
Fractional coordinates of all 5 atoms:
Sb1 0.0000 0.5000 0.0000
Sb2 0.0000 0.0000 0.5000
Sb3 0.5000 0.0000 0.0000
Ga1 0.5000 0.5000 0.5000
N1 0.0000 0.0000 0.0000

Values from the calculation:
Symmetry: Pm-3m (221)
Magnetic moment (μB/f.u.): 0.00
Relative energy among the computed polymorphs (meV per atom): 0
E_form (uncorrected) (eV/f.u.): 2.82